# PBE-GGA PmSmBi, relaxed
data_PmSmBi
_cell_length_a 4.452
_cell_length_b 4.452
_cell_length_c 11.130
_cell_angle_alpha 90.00
_cell_angle_beta 90.00
_cell_angle_gamma 90.00
_space_group_name_H-M_alt 'P 4/n m m'
_space_group_IT_number 129
loop_
_space_group_symop_operation_xyz
'x,y,z'
'-x,-y,-z'
'-y+1/2,x,z'
'y+1/2,-x,-z'
'-x+1/2,-y+1/2,z'
'x+1/2,y+1/2,-z'
'y,-x+1/2,z'
'-y,x+1/2,-z'
'x+1/2,-y,-z'
'-x+1/2,y,z'
'-y,-x,-z'
'y,x,z'
'-x,y+1/2,-z'
'x,-y+1/2,z'
'y+1/2,x+1/2,-z'
'-y+1/2,-x+1/2,z'
loop_
_atom_site_label
_atom_site_fract_x
_atom_site_fract_y
_atom_site_fract_z
_atom_site_occupancy
Pm1 0.250 0.250 0.086 1
Sm1 0.250 0.250 0.657 1
Bi1 0.250 0.250 0.369 1
# final energy: -4.83 eV per atom
# E above lowest polymorph: 275 meV per atom
# energy relative to the elements: -1.13 eV/f.u.